# NaCrIO2

A relaxed NaCrIO2 crystal (GGA+U, Alexandria).

Cell lengths 3.903, 3.903, 6.399 Å; angles 90.00, 90.00, 90.00 degrees
Space group P4/mmm (No. 123)
Symmetry-distinct sites (fractional):
Na  0.000  0.000  0.000
Cr  0.500  0.500  0.500
I  0.500  0.500  0.000
O  0.000  0.500  0.500

## Properties
* total magnetization: 2.000 μB per cell
* DFT total energy: -4.944 eV per atom
* offset from the most stable computed form: 0.0 kJ per mole of atoms